Entry 1:
First-principles (meta-GGA SCAN) data for Be2PRuF at its PBEsol-relaxed geometry, as listed in the Alexandria database.

abc: 3.390 3.390 5.059
angles: 90.00 90.00 90.00
Element x y z (fractional)
Be 0.000 0.500 0.000
Be 0.500 0.000 0.000
P 0.000 0.000 0.500
Ru 0.500 0.500 0.500
F 0.500 0.500 0.000

Properties
Crystal system: tetragonal
Magnetization: 0.5 μB per formula unit
SG: No. 123
ΔE_f (raw): 0.124 eV per atom
DOS(E_F): 0.36 states/eV per atom

=====

Entry 2:
First-principles (meta-GGA SCAN) data for TlRh2C2 at its PBEsol-relaxed geometry, as listed in the Alexandria database.

abc: 6.892 6.892 6.892
angles: 153.01 153.01 38.53
Element x y z (fractional)
Tl 0.000 0.000 0.000
Rh 0.342 0.342 0.000
Rh 0.658 0.658 0.000
C 0.250 0.750 0.500
C 0.750 0.250 0.500

Properties
Crystal system: tetragonal
Magnetization: 0.0 μB per formula unit
SG: No. 139
Raw total energy: -156.2 eV per cell
DOS(E_F): 0.27 states/eV per atom

=====

Entry 3:
First-principles (meta-GGA SCAN) data for La2HgF2 at its PBEsol-relaxed geometry, as listed in the Alexandria database.

abc: 7.542 7.542 7.542
angles: 150.13 150.13 42.75
Element x y z (fractional)
La 0.136 0.136 0.000
La 0.864 0.864 0.000
Hg 0.500 0.500 0.000
F 0.250 0.750 0.500
F 0.750 0.250 0.500

Properties
Crystal system: tetragonal
Magnetization: 0.0 μB per formula unit
SG: No. 139
ΔE_f (raw): -2.656 eV per atom
DOS(E_F): 0.44 states/eV per atom

=====

Entry 4:
First-principles (meta-GGA SCAN) data for MgBePb4 at its PBEsol-relaxed geometry, as listed in the Alexandria database.

abc: 6.307 6.307 6.307
angles: 60.00 60.00 60.00
Element x y z (fractional)
Mg 0.000 0.000 0.000
Be 0.250 0.250 0.250
Pb 0.125 0.625 0.625
Pb 0.625 0.125 0.625
Pb 0.625 0.625 0.125
Pb 0.625 0.625 0.625

Properties
Crystal system: cubic
Magnetization: 0.0 μB per formula unit
SG: No. 216
Raw total energy: -308.6 eV per cell
DOS(E_F): 0.50 states/eV per atom

=====

Entry 5:
First-principles (meta-GGA SCAN) data for MgZnH12C4O12 at its PBEsol-relaxed geometry, as listed in the Alexandria database.

abc: 8.536 6.981 9.381
angles: 90.00 98.37 90.00
Element x y z (fractional)
Mg 0.000 0.000 0.000
Mg 0.000 0.500 0.500
Zn 0.500 0.000 0.500
Zn 0.500 0.500 0.000
H 0.088 0.227 0.266
H 0.088 0.273 0.766
H 0.207 0.599 0.008
H 0.207 0.901 0.508
H 0.238 0.127 0.541
H 0.238 0.373 0.041
H 0.295 0.604 0.770
H 0.295 0.896 0.270
H 0.330 0.545 0.375
H 0.330 0.955 0.875
H 0.468 0.657 0.729
H 0.468 0.843 0.229
H 0.532 0.157 0.771
H 0.532 0.343 0.271
H 0.670 0.045 0.125
H 0.670 0.455 0.625
H 0.705 0.104 0.730
H 0.705 0.396 0.230
H 0.762 0.627 0.959
H 0.762 0.873 0.459
H 0.793 0.099 0.492
H 0.793 0.401 0.992
H 0.912 0.727 0.234
H 0.912 0.773 0.734
C 0.027 0.709 0.782
C 0.027 0.791 0.282
C 0.328 0.100 0.923
C 0.328 0.400 0.423
C 0.672 0.600 0.577
C 0.672 0.900 0.077
C 0.973 0.209 0.718
C 0.973 0.291 0.218
O 0.082 0.744 0.410
O 0.082 0.756 0.910
O 0.095 0.595 0.706
O 0.095 0.905 0.206
O 0.214 0.143 0.991
O 0.214 0.357 0.491
O 0.278 0.506 0.067
O 0.278 0.994 0.567
O 0.407 0.633 0.812
O 0.407 0.867 0.312
O 0.440 0.214 0.905
O 0.440 0.286 0.405
O 0.560 0.714 0.595
O 0.560 0.786 0.095
O 0.593 0.133 0.688
O 0.593 0.367 0.188
O 0.722 0.006 0.433
O 0.722 0.494 0.933
O 0.786 0.643 0.509
O 0.786 0.857 0.009
O 0.905 0.095 0.794
O 0.905 0.405 0.294
O 0.918 0.244 0.090
O 0.918 0.256 0.590

Properties
Crystal system: monoclinic
Magnetization: 0.0 μB per formula unit
SG: No. 14
Raw total energy: -421.7 eV per cell
DOS(E_F): 0.00 states/eV per atom

=====

Entry 6:
First-principles (meta-GGA SCAN) data for Tb3CrS6 at its PBEsol-relaxed geometry, as listed in the Alexandria database.

abc: 13.151 15.666 3.737
angles: 90.00 90.00 90.00
Element x y z (fractional)
Tb 0.054 0.220 0.000
Tb 0.179 0.648 0.000
Tb 0.240 0.904 0.500
Tb 0.260 0.404 0.000
Tb 0.321 0.148 0.500
Tb 0.446 0.720 0.500
Tb 0.554 0.280 0.500
Tb 0.679 0.852 0.500
Tb 0.740 0.596 0.000
Tb 0.760 0.096 0.500
Tb 0.821 0.352 0.000
Tb 0.946 0.780 0.000
Cr 0.000 0.000 0.500
Cr 0.000 0.500 0.500
Cr 0.500 0.000 0.000
Cr 0.500 0.500 0.000
S 0.025 0.403 0.000
S 0.079 0.925 0.000
S 0.100 0.756 0.500
S 0.124 0.105 0.500
S 0.179 0.520 0.500
S 0.191 0.290 0.500
S 0.309 0.790 0.000
S 0.321 0.020 0.000
S 0.376 0.605 0.000
S 0.400 0.256 0.000
S 0.421 0.425 0.500
S 0.475 0.903 0.500
S 0.525 0.097 0.500
S 0.579 0.575 0.500
S 0.600 0.744 0.000
S 0.624 0.395 0.000
S 0.679 0.980 0.000
S 0.691 0.210 0.000
S 0.809 0.710 0.500
S 0.821 0.480 0.500
S 0.876 0.895 0.500
S 0.900 0.244 0.500
S 0.921 0.075 0.000
S 0.975 0.597 0.000

Properties
Crystal system: orthorhombic
Magnetization: 3.0 μB per formula unit
SG: No. 58
ΔE_f (raw): -2.060 eV per atom

=====

Entry 7:
First-principles (meta-GGA SCAN) data for Ta3NiH at its PBEsol-relaxed geometry, as listed in the Alexandria database.

abc: 4.047 4.047 4.047
angles: 90.00 90.00 90.00
Element x y z (fractional)
Ta 0.000 0.000 0.500
Ta 0.000 0.500 0.000
Ta 0.500 0.000 0.000
Ni 0.500 0.500 0.500
H 0.000 0.000 0.000

Properties
Crystal system: cubic
Magnetization: 0.0 μB per formula unit
SG: No. 221
Raw total energy: -219.2 eV per cell
DOS(E_F): 1.00 states/eV per atom

=====

Entry 8:
First-principles (meta-GGA SCAN) data for Ta2ZnP at its PBEsol-relaxed geometry, as listed in the Alexandria database.

abc: 3.008 3.008 6.722
angles: 90.00 90.00 90.00
Element x y z (fractional)
Ta 0.000 0.000 0.221
Ta 0.000 0.000 0.779
Zn 0.500 0.500 0.500
P 0.500 0.500 0.000

Properties
Crystal system: tetragonal
Magnetization: 0.0 μB per formula unit
SG: No. 123
Raw total energy: -157.9 eV per cell
DOS(E_F): 0.51 states/eV per atom

=====

Entry 9:
First-principles (meta-GGA SCAN) data for La2BeTl at its PBEsol-relaxed geometry, as listed in the Alexandria database.

abc: 6.123 6.123 5.214
angles: 115.16 115.16 34.83
Element x y z (fractional)
La 0.000 0.000 0.000
La 0.210 0.210 0.710
Be 0.463 0.463 0.465
Tl 0.792 0.792 0.291

Properties
Relative energy among the computed polymorphs: 0.00 kJ/mol of atoms
Crystal system: monoclinic
Magnetization: 0.0 μB per formula unit
SG: No. 8
DOS(E_F): 0.95 states/eV per atom

=====

Entry 10:
First-principles (meta-GGA SCAN) data for MgVPO5 at its PBEsol-relaxed geometry, as listed in the Alexandria database.

abc: 5.223 5.434 6.987
angles: 106.88 107.04 96.65
Element x y z (fractional)
Mg 0.248 0.125 0.244
Mg 0.752 0.875 0.756
V 0.000 0.500 0.000
V 0.000 0.500 0.500
P 0.328 0.116 0.743
P 0.672 0.884 0.257
O 0.085 0.433 0.254
O 0.134 0.152 0.879
O 0.236 0.229 0.561
O 0.331 0.820 0.652
O 0.369 0.768 0.116
O 0.631 0.232 0.884
O 0.669 0.180 0.348
O 0.764 0.771 0.439
O 0.866 0.848 0.121
O 0.915 0.567 0.746

Properties
Crystal system: triclinic
Magnetization: 2.0 μB per formula unit
SG: No. 2
ΔE_f (raw): -2.747 eV per atom
DOS(E_F): 0.02 states/eV per atom

=====

Entry 11:
First-principles (meta-GGA SCAN) data for Ni5Ge2 at its PBEsol-relaxed geometry, as listed in the Alexandria database.

abc: 6.717 6.717 12.203
angles: 90.00 90.00 120.00
Element x y z (fractional)
Ni 0.000 0.000 0.000
Ni 0.000 0.000 0.500
Ni 0.000 0.276 0.172
Ni 0.000 0.307 0.378
Ni 0.000 0.369 0.976
Ni 0.000 0.373 0.766
Ni 0.000 0.627 0.266
Ni 0.000 0.631 0.476
Ni 0.000 0.693 0.878
Ni 0.000 0.724 0.672
Ni 0.276 0.000 0.172
Ni 0.276 0.276 0.672
Ni 0.307 0.000 0.378
Ni 0.307 0.307 0.878
Ni 0.333 0.667 0.142
Ni 0.333 0.667 0.642
Ni 0.369 0.000 0.976
Ni 0.369 0.369 0.476
Ni 0.373 0.000 0.766
Ni 0.373 0.373 0.266
Ni 0.627 0.000 0.266
Ni 0.627 0.627 0.766
Ni 0.631 0.000 0.476
Ni 0.631 0.631 0.976
Ni 0.667 0.333 0.142
Ni 0.667 0.333 0.642
Ni 0.693 0.000 0.878
Ni 0.693 0.693 0.378
Ni 0.724 0.000 0.672
Ni 0.724 0.724 0.172
Ge 0.000 0.000 0.294
Ge 0.000 0.000 0.794
Ge 0.000 0.330 0.571
Ge 0.000 0.670 0.071
Ge 0.330 0.000 0.571
Ge 0.330 0.330 0.071
Ge 0.333 0.667 0.353
Ge 0.333 0.667 0.853
Ge 0.667 0.333 0.353
Ge 0.667 0.333 0.853
Ge 0.670 0.000 0.071
Ge 0.670 0.670 0.571

Properties
Crystal system: hexagonal
Magnetization: 0.0 μB per formula unit
SG: No. 185
Raw total energy: -726.1 eV per cell
DOS(E_F): 0.64 states/eV per atom

=====

Entry 12:
First-principles (meta-GGA SCAN) data for RePt3 at its PBEsol-relaxed geometry, as listed in the Alexandria database.

abc: 4.400 4.400 4.400
angles: 60.00 60.00 60.00
Element x y z (fractional)
Re 0.000 0.000 0.000
Pt 0.250 0.250 0.250
Pt 0.500 0.500 0.500
Pt 0.750 0.750 0.750

Properties
Crystal system: cubic
Magnetization: 0.0 μB per formula unit
SG: No. 225
Raw total energy: -280.7 eV per cell
DOS(E_F): 1.11 states/eV per atom